[1]
Material: CaAc3Pb
Method: DFT, PBE
State: relaxed

Computed properties:
VASP energy	-75.84	eV for the cell shown
energy relative to the elements	-0.19	eV per atom
DOS(E_F)	1.46	states/eV/atom
total magnetic moment	0.002	μB per cell

abc: 13.385 4.611 14.541
angles: 90.00 113.06 90.00
Space group C2/m (No. 12)
Unique sites:
Ca1 0.000 0.000 0.157 (multiplicity 4)
Ac1 0.125 0.000 0.464 (multiplicity 4)
Ac2 0.142 0.500 0.701 (multiplicity 4)
Ac3 0.178 0.500 0.069 (multiplicity 4)
Pb1 0.156 0.500 0.299 (multiplicity 4)

=====

[2]
Material: UTcW
Method: DFT, PBE
State: relaxed

Computed properties:
VASP energy	-33.81	eV for the cell shown
energy relative to the elements	0.26	eV per atom
DOS(E_F)	1.28	states/eV/atom
total magnetic moment	0.000	μB per cell

abc: 4.5508 4.5508 2.8452
angles: 90.00 90.00 120.00
Space group P3m1 (No. 156)
Unique sites:
U1 0.0000 0.0000 0.0000 (multiplicity 1)
Tc1 0.6667 0.3333 0.2714 (multiplicity 1)
W1 0.3333 0.6667 0.7449 (multiplicity 1)

=====

[3]
Material: RbIrCl2
Method: DFT, PBE
State: relaxed

Computed properties:
VASP energy	-58.24	eV for the cell shown
DOS(E_F)	0.38	states/eV/atom
total magnetic moment	0.000	μB per cell
energy relative to the elements, uncorrected	-0.260	eV/atom

abc: 5.889 5.889 14.147
angles: 90.00 90.00 90.00
Space group I-42d (No. 122)
Unique sites:
Rb1 0.000 0.000 0.000 (multiplicity 4)
Ir1 0.000 0.000 0.500 (multiplicity 4)
Cl1 0.112 0.250 0.625 (multiplicity 8)

=====

[4]
Material: TbPmSm2Ho5
Method: DFT, PBE
State: relaxed

Computed properties:
VASP energy	-157.09	eV for the cell shown
energy relative to the elements	0.27	eV per atom
DOS(E_F)	1.14	states/eV/atom
total magnetic moment	0.000	μB per cell

abc: 8.713 8.713 15.352
angles: 90.00 90.00 90.00
Space group I4/mcm (No. 140)
Unique sites:
Tb1 0.000 0.500 0.250 (multiplicity 4)
Pm1 0.000 0.000 0.250 (multiplicity 4)
Sm1 0.116 0.384 0.000 (multiplicity 8)
Ho1 0.000 0.000 0.000 (multiplicity 4)
Ho2 0.209 0.291 0.363 (multiplicity 16)

=====

[5]
Material: Mg2Si2PdRh5
Method: DFT, PBE
State: relaxed

Computed properties:
VASP energy	-122.95	eV for the cell shown
DOS(E_F)	0.84	states/eV/atom
total magnetic moment	0.000	μB per cell
energy relative to the elements, uncorrected	-0.549	eV/atom

abc: 9.533 9.533 3.360
angles: 90.00 90.00 90.00
Space group P4/mbm (No. 127)
Unique sites:
Mg1 0.172 0.328 0.000 (multiplicity 4)
Si1 0.128 0.628 0.000 (multiplicity 4)
Pd1 0.000 0.000 0.000 (multiplicity 2)
Rh1 0.000 0.500 0.500 (multiplicity 2)
Rh2 0.073 0.790 0.500 (multiplicity 8)

=====

[6]
Material: CeSc2Cl6
Method: DFT, PBE
State: relaxed

Computed properties:
VASP energy	-91.60	eV for the cell shown
DOS(E_F)	1.49	states/eV/atom
total magnetic moment	4.394	μB per cell
energy relative to the elements, uncorrected	-1.791	eV/atom

abc: 17.616 5.061 5.190
angles: 90.00 106.68 90.00
Space group C2/m (No. 12)
Unique sites:
Ce1 0.000 0.000 0.000 (multiplicity 2)
Sc1 0.249 0.000 0.707 (multiplicity 4)
Cl1 0.096 0.000 0.593 (multiplicity 4)
Cl2 0.097 0.500 0.108 (multiplicity 4)
Cl3 0.248 0.000 0.219 (multiplicity 4)

=====

[7]
Material: TlSb2TeI
Method: DFT, PBE
State: relaxed

Computed properties:
VASP energy	-11.56	eV for the cell shown
DOS(E_F)	1.29	states/eV/atom
total magnetic moment	0.757	μB per cell
energy relative to the elements, uncorrected	0.749	eV/atom

abc: 5.883 5.883 6.011
angles: 90.00 90.00 90.00
Space group P4/mmm (No. 123)
Unique sites:
Tl1 0.000 0.000 0.000 (multiplicity 1)
Sb1 0.000 0.500 0.500 (multiplicity 2)
Te1 0.500 0.500 0.000 (multiplicity 1)
I1 0.500 0.500 0.500 (multiplicity 1)

=====

[8]
Material: Be2TcAs
Method: DFT, PBE
State: relaxed

Computed properties:
VASP energy	-63.59	eV for the cell shown
energy relative to the elements	0.32	eV per atom
DOS(E_F)	0.77	states/eV/atom
total magnetic moment	0.542	μB per cell

abc: 2.8219 2.8219 22.5887
angles: 90.00 90.00 120.00
Space group R-3m (No. 166, hexagonal axes)
Unique sites:
Be1 0.0000 0.0000 0.2468 (multiplicity 6)
Tc1 0.0000 0.0000 0.5000 (multiplicity 3)
As1 0.0000 0.0000 0.0000 (multiplicity 3)

=====

[9]
Material: CaLa2PmPr6
Method: DFT, PBE
State: relaxed

Computed properties:
VASP energy	-176.61	eV for the cell shown
energy relative to the elements	0.11	eV per atom
DOS(E_F)	1.53	states/eV/atom
total magnetic moment	0.001	μB per cell

abc: 9.327 15.712 10.246
angles: 90.00 100.42 90.00
Space group C2/c (No. 15)
Unique sites:
Ca1 0.000 0.101 0.250 (multiplicity 4)
La1 0.249 0.047 0.957 (multiplicity 8)
Pm1 0.000 0.482 0.750 (multiplicity 4)
Pr1 0.062 0.320 0.450 (multiplicity 8)
Pr2 0.108 0.107 0.624 (multiplicity 8)
Pr3 0.194 0.276 0.824 (multiplicity 8)

=====

[10]
Material: PrIn2Ga
Method: DFT, PBE
State: relaxed

Computed properties:
VASP energy	-14.38	eV for the cell shown
energy relative to the elements	-0.27	eV per atom
DOS(E_F)	1.01	states/eV/atom
total magnetic moment	0.001	μB per cell

abc: 3.801 3.801 7.139
angles: 90.00 90.00 90.00
Space group P4/mmm (No. 123)
Unique sites:
Pr1 0.000 0.000 0.000 (multiplicity 1)
In1 0.500 0.500 0.290 (multiplicity 2)
Ga1 0.000 0.000 0.500 (multiplicity 1)

=====

[11]
Material: LiZrTiN3
Method: DFT, PBE
State: relaxed

Computed properties:
VASP energy	-99.89	eV for the cell shown
DOS(E_F)	0.08	states/eV/atom
total magnetic moment	0.000	μB per cell
energy relative to the elements, uncorrected	-1.102	eV/atom

abc: 6.258 3.054 6.625
angles: 90.00 104.57 90.00
Space group P2_1/m (No. 11)
Unique sites:
Li1 0.094 0.250 0.085 (multiplicity 2)
Zr1 0.205 0.250 0.739 (multiplicity 2)
Ti1 0.328 0.750 0.337 (multiplicity 2)
N1 0.105 0.250 0.365 (multiplicity 2)
N2 0.231 0.750 0.997 (multiplicity 2)
N3 0.438 0.750 0.657 (multiplicity 2)

=====

[12]
Material: Pr3SbIr
Method: DFT, PBE
State: relaxed

Computed properties:
VASP energy	-61.97	eV for the cell shown
DOS(E_F)	0.78	states/eV/atom
total magnetic moment	0.000	μB per cell
energy relative to the elements, uncorrected	-0.732	eV/atom

abc: 8.312 4.417 8.736
angles: 90.00 107.84 90.00
Space group P2_1/m (No. 11)
Unique sites:
Pr1 0.071 0.250 0.261 (multiplicity 2)
Pr2 0.316 0.250 0.933 (multiplicity 2)
Pr3 0.324 0.750 0.591 (multiplicity 2)
Sb1 0.369 0.750 0.225 (multiplicity 2)
Ir1 0.083 0.250 0.609 (multiplicity 2)

=====

Question: What is the total magnetic moment in the fifth record?
Answer: 0.000 μB per cell

=====

What did the first record say?
Material: CaAc3Pb
Method: DFT, PBE
State: relaxed

Computed properties:
VASP energy	-75.84	eV for the cell shown
energy relative to the elements	-0.19	eV per atom
DOS(E_F)	1.46	states/eV/atom
total magnetic moment	0.002	μB per cell

abc: 13.385 4.611 14.541
angles: 90.00 113.06 90.00
Space group C2/m (No. 12)
Unique sites:
Ca1 0.000 0.000 0.157 (multiplicity 4)
Ac1 0.125 0.000 0.464 (multiplicity 4)
Ac2 0.142 0.500 0.701 (multiplicity 4)
Ac3 0.178 0.500 0.069 (multiplicity 4)
Pb1 0.156 0.500 0.299 (multiplicity 4)

=====

Question: What is the DOS(E_F) in the fifth record?
Answer: 0.84 states/eV/atom

=====

Question: Which formula does entry 3 have?
Answer: RbIrCl2